Density functional theory data (PBE-GGA) for Cr2NiRu after structural relaxation.

total moment: 0.01 μB per atom
mass density: 8.97 Mg/m³
energy: -8.4192 eV/atom
SG: No. 44
Fermi-level density of states: 1.315 states/eV per atom
formation energy: 0.6 eV per formula unit

Structure (extended XYZ):
```
4
Lattice="-2.110 3.920 1.650 -4.612 -0.413 1.050 4.299 -1.755 0.988" Properties=species:S:1:pos:R:3 pbc="T T T"
Ni -3.450 1.800 1.386
Cr -6.607 3.448 2.654
Cr -0.700 2.019 2.040
Ru -1.747 -0.254 1.658
```



Density functional theory data (PBE-GGA) for Cr2NiRu after structural relaxation.

total moment: 0.00 μB per atom
mass density: 9.01 Mg/m³
energy: -8.4761 eV/atom
SG: No. 65
Fermi-level density of states: 1.080 states/eV per atom
formation energy: 0.4 eV per formula unit

Structure (extended XYZ):
```
4
Lattice="-3.118 4.814 0.402 -0.557 -3.328 2.887 0.565 1.616 1.976" Properties=species:S:1:pos:R:3 pbc="T T T"
Cr 0.000 0.000 0.000
Cr -1.277 3.215 1.189
Ru -1.838 0.743 1.645
Ni 0.004 -0.856 2.431
```



Density functional theory data (PBE-GGA) for Cr2Ni2Ru5 after structural relaxation.

total moment: 0.00 μB per atom
mass density: 9.91 Mg/m³
energy: -8.2171 eV/atom
SG: No. 74
Fermi-level density of states: 1.244 states/eV per atom
formation energy: 3.2 eV per formula unit

Structure (extended XYZ):
```
18
Lattice="11.640 0.000 -3.702 -0.408 3.957 -1.281 -4.248 -0.444 6.795" Properties=species:S:1:pos:R:3 pbc="T T T"
Cr 5.760 0.819 1.701
Cr 1.897 2.797 2.224
Cr 5.148 0.133 -0.223
Cr 1.285 2.111 0.300
Ru 4.621 3.067 2.190
Ru -1.524 0.475 2.958
Ru -3.393 0.901 4.868
Ru 7.487 0.049 -1.223
Ru 10.438 2.028 -2.867
Ru 3.517 1.088 3.247
Ru 3.528 1.842 -1.246
Ru 2.017 3.820 -1.471
Ru -0.442 2.879 3.224
Ru 8.569 2.453 -0.957
Ni 0.927 0.476 2.178
Ni 6.118 2.455 -0.178
Ni 1.399 1.242 4.398
Ni -4.625 3.220 5.609
```



Density functional theory data (PBE-GGA) for Cr2NiRu after structural relaxation.

total moment: 0.00 μB per atom
mass density: 9.04 Mg/m³
energy: -8.4796 eV/atom
SG: No. 47
Fermi-level density of states: 1.255 states/eV per atom
formation energy: 0.4 eV per formula unit

Structure (extended XYZ):
```
4
Lattice="-0.235 1.990 3.025 1.853 -1.472 1.112 5.444 1.685 -0.686" Properties=species:S:1:pos:R:3 pbc="T T T"
Ni 1.707 1.048 1.619
Cr 1.878 -1.447 1.098
Cr 3.624 0.082 0.228
Ru 5.355 1.155 1.832
```



Density functional theory data (PBE-GGA) for CrNiRu after structural relaxation.

total moment: 0.00 μB per atom
mass density: 9.59 Mg/m³
energy: -8.1733 eV/atom
SG: No. 15
distance to the lowest polymorph of the same formula: 61 meV/atom
Fermi-level density of states: 1.071 states/eV per atom
formation energy: 0.2 eV per formula unit

Structure (extended XYZ):
```
12
Lattice="-2.705 4.036 -1.179 -0.692 -2.574 -7.223 -1.837 -3.862 1.552" Properties=species:S:1:pos:R:3 pbc="T T T"
Ni -2.569 -3.802 -4.502
Ni -2.666 1.402 -2.348
Ni -3.930 -1.816 -5.184
Ni -1.304 -0.584 -1.667
Cr -2.338 -2.944 -2.096
Cr -2.896 0.544 -4.754
Cr -1.766 -2.300 -6.484
Cr -3.469 -0.100 -0.366
Ru -1.541 -1.465 -4.139
Ru -3.121 -0.291 -7.099
Ru -2.114 -2.109 0.249
Ru -3.693 -0.935 -2.712
```



Density functional theory data (PBE-GGA) for Cr2NiRu after structural relaxation.

total moment: 0.36 μB per atom
mass density: 8.88 Mg/m³
energy: -8.4037 eV/atom
SG: No. 216
Fermi-level density of states: 1.245 states/eV per atom
formation energy: 0.7 eV per formula unit

Structure (extended XYZ):
```
4
Lattice="-2.954 -0.223 2.858 -1.230 -3.667 1.407 0.934 -1.150 3.840" Properties=species:S:1:pos:R:3 pbc="T T T"
Cr -0.813 -1.260 2.026
Cr 0.000 0.000 0.000
Ru -2.438 -3.780 6.078
Ni -1.625 -2.520 4.052
```



Density functional theory data (PBE-GGA) for CrNiRu after structural relaxation.

total moment: 0.00 μB per atom
mass density: 9.59 Mg/m³
energy: -8.1734 eV/atom
SG: No. 9
distance to the lowest polymorph of the same formula: 61 meV/atom
Fermi-level density of states: 1.472 states/eV per atom
formation energy: 0.2 eV per formula unit

Structure (extended XYZ):
```
12
Lattice="-0.248 1.958 6.324 0.508 -4.248 1.335 5.131 -1.202 -5.778" Properties=species:S:1:pos:R:3 pbc="T T T"
Ru 0.858 -0.844 3.201
Ru 3.636 -3.163 -2.618
Ru 0.816 -0.438 -0.396
Ru 3.678 -3.569 0.980
Cr 0.346 -2.826 4.874
Cr 2.598 -0.749 -2.327
Cr 2.657 -1.304 1.317
Cr 0.286 -2.272 1.230
Ni 4.249 -1.211 -4.243
Ni 4.296 -1.663 -0.632
Ni 1.937 -2.734 -0.687
Ni 1.985 -3.185 2.925
```



Density functional theory data (PBE-GGA) for CrNiRu after structural relaxation.

total moment: 0.00 μB per atom
mass density: 9.46 Mg/m³
energy: -8.1280 eV/atom
SG: No. 160
distance to the lowest polymorph of the same formula: 106 meV/atom
Fermi-level density of states: 1.217 states/eV per atom
formation energy: 0.3 eV per formula unit

Structure (extended XYZ):
```
9
Lattice="-2.412 1.057 0.050 0.611 -1.802 -1.822 -5.666 -13.467 11.425" Properties=species:S:1:pos:R:3 pbc="T T T"
Cr -4.646 -10.947 7.369
Cr -3.765 -5.504 4.184
Cr -0.471 -1.120 0.950
Ni -4.859 -11.548 9.797
Ni -2.486 -2.466 1.606
Ni -3.367 -7.908 4.791
Ru -6.932 -13.033 10.571
Ru -3.639 -8.648 7.337
Ru -2.147 -5.008 2.330
```



Density functional theory data (PBE-GGA) for Cr2NiRu after structural relaxation.

total moment: 1.27 μB per atom
mass density: 8.58 Mg/m³
energy: -8.3983 eV/atom
SG: No. 123
Fermi-level density of states: 1.065 states/eV per atom
formation energy: 0.7 eV per formula unit

Structure (extended XYZ):
```
4
Lattice="2.923 0.000 0.000 0.000 2.923 0.000 0.000 0.000 5.976" Properties=species:S:1:pos:R:3 pbc="T T T"
Cr 0.000 0.000 0.066
Cr 0.000 0.000 2.922
Ni 1.461 1.461 1.494
Ru 1.461 1.461 4.482
```



Density functional theory data (PBE-GGA) for CrNiRu after structural relaxation.

total moment: 0.00 μB per atom
mass density: 9.59 Mg/m³
energy: -8.1759 eV/atom
SG: No. 6
distance to the lowest polymorph of the same formula: 58 meV/atom
Fermi-level density of states: 1.120 states/eV per atom
formation energy: 0.2 eV per formula unit

Structure (extended XYZ):
```
6
Lattice="-4.144 1.623 0.388 -0.982 -2.407 -0.415 1.511 -1.652 6.009" Properties=species:S:1:pos:R:3 pbc="T T T"
Ru -0.308 -0.413 3.127
Ru -1.759 0.545 0.999
Ni -4.296 0.129 1.067
Ni -2.886 -0.784 3.032
Cr -0.033 -2.249 4.781
Cr -1.689 -0.204 5.184
```



Density functional theory data (PBE-GGA) for Cr2NiRu after structural relaxation.

total moment: 0.08 μB per atom
mass density: 9.03 Mg/m³
energy: -8.4391 eV/atom
SG: No. 99
Fermi-level density of states: 1.281 states/eV per atom
formation energy: 0.5 eV per formula unit

Structure (extended XYZ):
```
4
Lattice="-0.687 1.508 -2.474 -2.728 0.521 1.075 1.796 4.619 2.316" Properties=species:S:1:pos:R:3 pbc="T T T"
Cr 0.019 0.050 0.025
Cr -1.239 2.220 -0.095
Ni 0.851 2.188 1.097
Ru -0.352 4.500 1.048
```



Density functional theory data (PBE-GGA) for CrNiRu after structural relaxation.

total moment: 0.26 μB per atom
mass density: 9.25 Mg/m³
energy: -7.9788 eV/atom
SG: No. 46
distance to the lowest polymorph of the same formula: 255 meV/atom
Fermi-level density of states: 1.134 states/eV per atom
formation energy: 0.7 eV per formula unit

Structure (extended XYZ):
```
18
Lattice="-3.286 -1.999 -4.359 -3.118 -6.238 1.335 -6.969 0.036 1.360" Properties=species:S:1:pos:R:3 pbc="T T T"
Ru -2.535 -3.713 -0.617
Ru -11.139 -4.671 -1.445
Ru -8.870 -3.277 -1.981
Ru -6.551 -6.171 -2.401
Ru -6.280 -1.687 -1.952
Ru -6.844 -6.363 0.618
Cr -6.335 -3.731 -3.161
Cr -3.729 -2.137 -1.980
Cr -4.585 -4.972 -0.296
Cr -11.250 -7.041 -1.815
Cr -8.644 -5.447 -0.633
Cr -7.329 -2.341 0.567
Ni -4.925 -2.503 0.103
Ni -9.505 -6.359 1.447
Ni -1.329 -0.297 0.257
Ni -1.640 -0.998 -2.176
Ni -5.909 -4.153 1.601
Ni -6.684 -4.099 -0.829
```



Density functional theory data (PBE-GGA) for CrNiRu2 after structural relaxation.

total moment: 0.00 μB per atom
mass density: 10.10 Mg/m³
energy: -8.2999 eV/atom
SG: No. 160
Fermi-level density of states: 1.437 states/eV per atom
formation energy: 0.8 eV per formula unit

Structure (extended XYZ):
```
4
Lattice="-1.321 4.665 7.128 -3.837 4.361 6.370 -2.656 2.487 7.816" Properties=species:S:1:pos:R:3 pbc="T T T"
Cr -3.896 5.739 10.625
Ni -5.882 8.665 16.042
Ru -0.015 0.022 0.040
Ru -1.930 2.843 5.264
```



Density functional theory data (PBE-GGA) for Cr2NiRu after structural relaxation.

total moment: 0.00 μB per atom
mass density: 9.04 Mg/m³
energy: -8.4390 eV/atom
SG: No. 12
Fermi-level density of states: 1.198 states/eV per atom
formation energy: 0.5 eV per formula unit

Structure (extended XYZ):
```
4
Lattice="4.446 -0.013 0.014 3.662 2.522 0.014 0.719 0.223 4.305" Properties=species:S:1:pos:R:3 pbc="T T T"
Cr 0.739 0.228 4.244
Cr 4.394 1.359 2.228
Ru 2.207 0.683 1.083
Ni 6.620 2.048 3.250
```



Density functional theory data (PBE-GGA) for CrNiRu after structural relaxation.

total moment: 0.00 μB per atom
mass density: 9.60 Mg/m³
energy: -8.1181 eV/atom
SG: No. 12
distance to the lowest polymorph of the same formula: 116 meV/atom
Fermi-level density of states: 1.259 states/eV per atom
formation energy: 0.3 eV per formula unit

Structure (extended XYZ):
```
12
Lattice="-0.296 4.315 1.019 -6.527 0.549 -4.226 -2.209 -2.238 3.121" Properties=species:S:1:pos:R:3 pbc="T T T"
Ni -1.110 0.093 -0.718
Ni -5.477 -0.751 -1.271
Ni -3.258 -0.938 0.166
Ni -5.417 0.456 -3.507
Ru -0.148 2.157 0.509
Ru -3.263 0.275 -2.113
Ru -1.105 -1.119 1.561
Ru -4.516 1.313 -0.043
Cr -4.522 2.525 -2.323
Cr -6.669 1.494 -1.437
Cr -2.301 2.338 -0.885
Cr -2.363 1.132 1.351
```



Density functional theory data (PBE-GGA) for Cr2NiRu after structural relaxation.

total moment: 0.00 μB per atom
mass density: 9.10 Mg/m³
energy: -8.5419 eV/atom
SG: No. 139
Fermi-level density of states: 0.749 states/eV per atom
formation energy: 0.1 eV per formula unit

Structure (extended XYZ):
```
4
Lattice="-3.799 1.978 1.214 -2.925 -3.093 1.301 4.233 0.750 1.157" Properties=species:S:1:pos:R:3 pbc="T T T"
Cr 0.000 0.000 0.000
Cr -3.362 -0.557 1.257
Ni -1.464 1.085 1.814
Ru -1.027 -1.450 1.858
```



Density functional theory data (PBE-GGA) for CrNi3Ru after structural relaxation.

total moment: 0.00 μB per atom
mass density: 9.09 Mg/m³
energy: -7.0334 eV/atom
SG: No. 5
distance to the lowest polymorph of the same formula: 0 meV/atom
Fermi-level density of states: 1.353 states/eV per atom
formation energy: 1.1 eV per formula unit

Structure (extended XYZ):
```
10
Lattice="5.016 0.000 0.000 -2.508 3.747 1.777 0.000 -0.520 6.152" Properties=species:S:1:pos:R:3 pbc="T T T"
Cr -0.155 0.889 2.947
Cr 2.353 2.338 4.982
Ni -1.405 3.152 3.021
Ni 1.096 3.156 3.022
Ni 1.103 0.075 4.907
Ni 2.351 0.969 2.909
Ni -0.157 2.258 5.020
Ni 3.604 0.071 4.906
Ru 1.081 1.871 0.892
Ru 3.589 1.356 7.036
```



Density functional theory data (PBE-GGA) for CrNiRu after structural relaxation.

total moment: 0.00 μB per atom
mass density: 9.59 Mg/m³
energy: -8.1797 eV/atom
SG: No. 12
distance to the lowest polymorph of the same formula: 54 meV/atom
Fermi-level density of states: 0.964 states/eV per atom
formation energy: 0.1 eV per formula unit

Structure (extended XYZ):
```
12
Lattice="-0.431 -1.608 -5.860 2.665 0.213 -0.255 1.074 -8.007 4.531" Properties=species:S:1:pos:R:3 pbc="T T T"
Cr 0.481 -7.805 -1.502
Cr 2.031 -5.707 2.311
Cr 0.161 -1.810 0.173
Cr 1.277 -3.695 -3.895
Ru 0.426 -4.155 0.980
Ru 1.012 -1.350 -4.702
Ru 0.217 -5.460 -2.309
Ru 2.296 -8.051 3.118
Ni -0.075 -2.031 -2.486
Ni 1.795 -5.928 -0.348
Ni 0.718 -7.584 1.157
Ni 1.513 -3.474 -1.236
```



Density functional theory data (PBE-GGA) for ScCrNiRu after structural relaxation.

total moment: 0.72 μB per atom
mass density: 7.36 Mg/m³
energy: -7.8964 eV/atom
SG: No. 216
Fermi-level density of states: 1.049 states/eV per atom
formation energy: -0.6 eV per formula unit

Structure (extended XYZ):
```
4
Lattice="4.343 0.000 0.000 2.171 3.761 0.000 2.171 1.254 3.546" Properties=species:S:1:pos:R:3 pbc="T T T"
Sc 2.171 1.254 0.887
Ni 4.343 2.507 1.773
Ru 0.000 0.000 0.000
Cr 6.514 3.761 2.660
```



Density functional theory data (PBE-GGA) for VCrNiRu after structural relaxation.

total moment: 0.77 μB per atom
mass density: 8.43 Mg/m³
energy: -8.4088 eV/atom
SG: No. 216
Fermi-level density of states: 1.284 states/eV per atom
formation energy: 0.2 eV per formula unit

Structure (extended XYZ):
```
4
Lattice="-0.703 1.527 3.830 2.621 -0.913 3.129 2.505 2.964 1.562" Properties=species:S:1:pos:R:3 pbc="T T T"
Cr 2.211 1.789 4.261
Ni 1.106 0.894 2.130
V 0.000 0.000 0.000
Ru 3.317 2.683 6.391
```